The following is a DFT calculation (PBE-GGA) of crystalline MgSiP at its relaxed geometry.

Structure (CIF):
```
data_MgSiP
_cell_length_a 3.919
_cell_length_b 5.415
_cell_length_c 6.193
_cell_angle_alpha 96.89
_cell_angle_beta 106.75
_cell_angle_gamma 107.19
_space_group_name_H-M_alt 'P 1'
_space_group_IT_number 1
_space_group_name_Hall 'P 1'
loop_
_atom_site_label
_atom_site_fract_x
_atom_site_fract_y
_atom_site_fract_z
_atom_site_occupancy
Mg1 0.000 0.000 0.000 1
Mg2 0.395 0.636 0.239 1
Si1 0.360 0.989 0.571 1
Si2 0.978 0.266 0.576 1
P1 0.286 0.693 0.810 1
P2 0.736 0.305 0.209 1
```

Results
formation energy without anion corrections = -0.1899 eV/atom

=====

The following is a DFT calculation (PBE-GGA) of crystalline MgSiP at its relaxed geometry.

Structure (CIF):
```
data_MgSiP
_cell_length_a 4.072
_cell_length_b 5.674
_cell_length_c 5.970
_cell_angle_alpha 105.20
_cell_angle_beta 94.50
_cell_angle_gamma 98.78
_space_group_name_H-M_alt 'P 1'
_space_group_IT_number 1
_space_group_name_Hall 'P 1'
loop_
_atom_site_label
_atom_site_fract_x
_atom_site_fract_y
_atom_site_fract_z
_atom_site_occupancy
Mg1 0.000 0.000 0.000 1
Mg2 0.423 0.343 0.610 1
Si1 0.271 0.859 0.386 1
Si2 0.704 0.627 0.264 1
P1 0.561 0.261 0.005 1
P2 0.998 0.642 0.620 1
```

Results
formation energy without anion corrections = -0.1961 eV/atom

=====

The following is a DFT calculation (PBE-GGA) of crystalline MgSiP at its relaxed geometry.

Structure (CIF):
```
data_MgSiP
_cell_length_a 3.856
_cell_length_b 5.167
_cell_length_c 6.657
_cell_angle_alpha 69.66
_cell_angle_beta 77.46
_cell_angle_gamma 69.56
_space_group_name_H-M_alt 'P 1'
_space_group_IT_number 1
_space_group_name_Hall 'P 1'
loop_
_atom_site_label
_atom_site_fract_x
_atom_site_fract_y
_atom_site_fract_z
_atom_site_occupancy
Mg1 0.000 0.000 0.000 1
Mg2 0.251 0.602 0.714 1
Si1 0.527 0.161 0.367 1
Si2 0.980 0.415 0.188 1
P1 0.485 0.771 0.293 1
P2 0.571 0.012 0.722 1
```

Results
formation energy without anion corrections = -0.1928 eV/atom

=====

The following is a DFT calculation (PBE-GGA) of crystalline MgTa2SiP at its relaxed geometry.

Structure (CIF):
```
data_MgTa2SiP
_cell_length_a 4.878
_cell_length_b 4.878
_cell_length_c 4.204
_cell_angle_alpha 90.00
_cell_angle_beta 90.00
_cell_angle_gamma 90.00
_space_group_name_H-M_alt 'P 4/m m m'
_space_group_IT_number 123
_space_group_name_Hall '-P 4 2'
loop_
_atom_site_label
_atom_site_fract_x
_atom_site_fract_y
_atom_site_fract_z
_atom_site_occupancy
Mg1 0.000 0.000 0.000 1
Ta1 0.000 0.500 0.000 1
Si1 0.500 0.500 0.500 1
P1 0.000 0.000 0.500 1
```

Results
formation energy without anion corrections = 1.8041 eV/atom

=====

The following is a DFT calculation (PBE-GGA) of crystalline MgTa2SiP at its relaxed geometry.

Structure (CIF):
```
data_MgTa2SiP
_cell_length_a 4.628
_cell_length_b 4.628
_cell_length_c 4.518
_cell_angle_alpha 90.00
_cell_angle_beta 90.00
_cell_angle_gamma 90.00
_space_group_name_H-M_alt 'P 4/m m m'
_space_group_IT_number 123
_space_group_name_Hall '-P 4 2'
loop_
_atom_site_label
_atom_site_fract_x
_atom_site_fract_y
_atom_site_fract_z
_atom_site_occupancy
Mg1 0.000 0.000 0.000 1
Ta1 0.000 0.500 0.500 1
Si1 0.500 0.500 0.000 1
P1 0.000 0.000 0.500 1
```

Results
formation energy without anion corrections = 0.5054 eV/atom

=====

The following is a DFT calculation (PBE-GGA) of crystalline MgZrSiP2 at its relaxed geometry.

Structure (CIF):
```
data_MgZrSiP2
_cell_length_a 4.654
_cell_length_b 4.654
_cell_length_c 4.767
_cell_angle_alpha 90.00
_cell_angle_beta 90.00
_cell_angle_gamma 90.00
_space_group_name_H-M_alt 'P 4/m m m'
_space_group_IT_number 123
_space_group_name_Hall '-P 4 2'
loop_
_atom_site_label
_atom_site_fract_x
_atom_site_fract_y
_atom_site_fract_z
_atom_site_occupancy
Mg1 0.000 0.000 0.000 1
Zr1 0.500 0.500 0.500 1
Si1 0.000 0.000 0.500 1
P1 0.000 0.500 0.000 1
```

Results
formation energy without anion corrections = 0.7485 eV/atom

=====

The following is a DFT calculation (PBE-GGA) of crystalline Sm3MgP at its relaxed geometry.

Structure (CIF):
```
data_Sm3MgP
_cell_length_a 5.456
_cell_length_b 5.456
_cell_length_c 5.456
_cell_angle_alpha 90.00
_cell_angle_beta 90.00
_cell_angle_gamma 90.00
_space_group_name_H-M_alt 'P m -3 m'
_space_group_IT_number 221
_space_group_name_Hall '-P 4 2 3'
loop_
_atom_site_label
_atom_site_fract_x
_atom_site_fract_y
_atom_site_fract_z
_atom_site_occupancy
Sm1 0.000 0.000 0.500 1
Mg1 0.500 0.500 0.500 1
P1 0.000 0.000 0.000 1
```

Results
energy relative to the elements = -2.4 eV per formula unit

=====

The following is a DFT calculation (PBE-GGA) of crystalline MgSnP3 at its relaxed geometry.

Structure (CIF):
```
data_MgSnP3
_cell_length_a 4.834
_cell_length_b 4.834
_cell_length_c 4.834
_cell_angle_alpha 90.00
_cell_angle_beta 90.00
_cell_angle_gamma 90.00
_space_group_name_H-M_alt 'P m -3 m'
_space_group_IT_number 221
_space_group_name_Hall '-P 4 2 3'
loop_
_atom_site_label
_atom_site_fract_x
_atom_site_fract_y
_atom_site_fract_z
_atom_site_occupancy
Mg1 0.000 0.000 0.000 1
Sn1 0.500 0.500 0.500 1
P1 0.000 0.000 0.500 1
```

Results
energy relative to the elements = 3.9 eV per formula unit